A plane-wave DFT calculation with GGA+U was carried out for an optimized crystal structure of SrCoNiF6.

Computed properties:
Size of the total moment = 10.00 Bohr magnetons per cell
Calculated volume = 14.46 A^3/atom
Final energy = -4.952 eV per atom
DOS at the Fermi energy = 13.61 states/eV/cell

Cell: 5.3562 5.3562 10.4773 Å, 90.00 90.00 120.00°
With the nearest neighbours (Å) after each atom.
Space group P-31c (No. 163)
Asymmetric unit:
Sr1 0.0000 0.0000 0.0000  6 F 2.46
Co1 0.3333 0.6667 0.2500  6 F 2.06
Ni1 0.3333 0.6667 0.7500  6 F 2.03
F1 0.0038 0.3659 0.6429  1 Ni 2.03, 1 Co 2.06